Entry 1:
MnTc2P: relaxed, PBE.

Structure (POSCAR):
```
MnTc2P
1.0
2.9274 0.0000 0.0000
0.0000 3.5232 0.0000
0.0000 0.0000 5.1994
Mn Tc P
1 2 1
Cartesian
0.0000 0.0000 0.0000
0.0000 0.0000 2.4213
1.4637 1.7616 4.1964
1.4637 1.7616 1.4150
```

formation energy from the elements = -1.76 kcal/mol of atoms
size of the total moment = 1.97 Bohr magnetons per cell
raw total energy = -8.904 eV/atom
E above lowest polymorph = 210 meV per atom

=====

Entry 2:
MnTc2P: relaxed, PBE.

Structure (POSCAR):
```
MnTc2P
1.0
-1.4199 2.1049 4.2289
1.4199 -2.1049 4.2289
1.4199 2.1049 -4.2289
Mn Tc P
1 2 1
Cartesian
0.0000 0.0000 0.0000
0.0000 0.0000 3.7430
0.0000 2.1049 1.9027
1.4199 0.0000 1.7710
```

formation energy from the elements = -6.01 kcal/mol of atoms
size of the total moment = 0.00 Bohr magnetons per cell
raw total energy = -9.089 eV/atom
E above lowest polymorph = 25 meV per atom

=====

Entry 3:
Mn4TcP: relaxed, PBE.

Structure (POSCAR):
```
Mn4TcP
1.0
0.0000 3.2774 3.2774
3.2774 0.0000 3.2774
3.2774 3.2774 0.0000
Mn Tc P
4 1 1
Cartesian
0.8102 0.8102 0.8102
2.4672 2.4672 0.8102
2.4672 0.8102 2.4672
0.8102 2.4672 2.4672
3.2774 3.2774 3.2774
4.9162 4.9162 4.9162
```

formation energy from the elements = 6.33 kcal/mol of atoms
size of the total moment = 1.63 Bohr magnetons per cell
raw total energy = -8.468 eV/atom

=====

Entry 4:
MnTcP2: relaxed, PBE.

Structure (POSCAR):
```
MnTcP2
1.0
2.8123 0.0000 0.0000
0.0000 2.8123 0.0000
0.0000 0.0000 7.3095
Mn Tc P
1 1 2
Cartesian
0.0000 0.0000 0.0000
1.4062 1.4062 5.5803
0.0000 0.0000 4.0792
1.4062 1.4062 1.2191
```

formation energy from the elements = -1.44 kcal/mol of atoms
size of the total moment = 0.00 Bohr magnetons per cell
raw total energy = -7.651 eV/atom
E above lowest polymorph = 415 meV per atom